{"formula": "Li3La2MgBi4", "functional": "PBE", "state": "optimized geometry", "sg": "P-4m2", "dft_energy_ev_per_atom": -3.842, "n_ef_per_ev_atom": 0.614, "lattice": [[4.909, 0.000, 0.000], [0.000, 4.909, 0.000], [0.000, 0.000, 11.247]], "species": ["Li", "Li", "Li", "La", "La", "Mg", "Bi", "Bi", "Bi", "Bi"], "fractional_positions": [[0.000, 0.000, 0.000], [0.000, 0.500, 0.614], [0.500, 0.000, 0.386], [0.000, 0.500, 0.277], [0.500, 0.000, 0.723], [0.500, 0.500, 0.000], [0.000, 0.000, 0.500], [0.000, 0.500, 0.851], [0.500, 0.000, 0.149], [0.500, 0.500, 0.500]]}